# 1
A plane-wave DFT calculation with PBE was carried out for crystalline MoHOs2 at its relaxed geometry.

The structure in CIF format:
```
data_MoHOs2
_chemical_formula_sum 'Mo4 H4 Os8'
_cell_length_a 6.198
_cell_length_b 6.198
_cell_length_c 5.053
_cell_angle_alpha 90.00
_cell_angle_beta 90.00
_cell_angle_gamma 90.00
_symmetry_space_group_name_H-M 'I -4 2 d'
_symmetry_Int_Tables_number 122
_symmetry_space_group_name_Hall 'I -4 2bw'
loop_
_atom_site_label
_atom_site_fract_x
_atom_site_fract_y
_atom_site_fract_z
_atom_site_occupancy
Mo1 0.000 0.000 0.000 1
H1 0.000 0.000 0.500 1
Os1 0.156 0.250 0.625 1
```



# 2
A plane-wave DFT calculation with PBE was carried out for crystalline Mo2HOs at its relaxed geometry.

The structure in CIF format:
```
data_Mo2HOs
_chemical_formula_sum 'Mo8 H4 Os4'
_cell_length_a 4.705
_cell_length_b 4.705
_cell_length_c 10.493
_cell_angle_alpha 90.00
_cell_angle_beta 90.00
_cell_angle_gamma 90.00
_symmetry_space_group_name_H-M 'I -4 2 d'
_symmetry_Int_Tables_number 122
_symmetry_space_group_name_Hall 'I -4 2bw'
loop_
_atom_site_label
_atom_site_fract_x
_atom_site_fract_y
_atom_site_fract_z
_atom_site_occupancy
Mo1 0.125 0.250 0.125 1
H1 0.000 0.000 0.000 1
Os1 0.000 0.000 0.500 1
```



# 3
A plane-wave DFT calculation with PBE was carried out for crystalline Mo2HOs at its relaxed geometry.

The structure in CIF format:
```
data_Mo2HOs
_chemical_formula_sum 'Mo8 H4 Os4'
_cell_length_a 6.007
_cell_length_b 6.007
_cell_length_c 6.007
_cell_angle_alpha 90.00
_cell_angle_beta 90.00
_cell_angle_gamma 90.00
_symmetry_space_group_name_H-M 'F m -3 m'
_symmetry_Int_Tables_number 225
_symmetry_space_group_name_Hall '-F 4 2 3'
loop_
_atom_site_label
_atom_site_fract_x
_atom_site_fract_y
_atom_site_fract_z
_atom_site_occupancy
Mo1 0.250 0.250 0.250 1
H1 0.000 0.000 0.000 1
Os1 0.000 0.000 0.500 1
```



Number 1: D(E_F) 14.6 states/eV/cell, excess energy over the best structure of this formula in the dataset 0.0000 eV per atom. Number 2: D(E_F) 4.0 states/eV/cell, excess energy over the best structure of this formula in the dataset 0.7067 eV per atom. Number 3: D(E_F) 7.4 states/eV/cell, excess energy over the best structure of this formula in the dataset 0.6425 eV per atom.